{
  "formula": "Li2Mn2CoO6",
  "functional": "SCAN",
  "state": "PBEsol geometry",
  "lattice_angstrom": [[5.771, -0.095, 0.045], [0.066, 5.620, 0.009], [1.682, 1.329, 6.038]],
  "species": ["Li", "Li", "Li", "Li", "O", "O", "O", "O", "O", "O", "O", "O", "O", "O", "O", "O", "Mn", "Mn", "Mn", "Mn", "Co", "Co"],
  "frac_coords": [[0.352, 0.310, 0.655], [0.000, 0.500, 0.000], [0.648, 0.690, 0.345], [0.000, 0.000, 0.000], [0.269, 0.743, 0.024], [0.396, 0.424, 0.318], [0.061, 0.584, 0.657], [0.064, 0.091, 0.656], [0.604, 0.576, 0.682], [0.270, 0.245, 0.017], [0.939, 0.416, 0.343], [0.606, 0.078, 0.686], [0.731, 0.257, 0.976], [0.394, 0.922, 0.314], [0.936, 0.909, 0.344], [0.730, 0.755, 0.983], [0.831, 0.333, 0.666], [0.833, 0.836, 0.665], [0.167, 0.164, 0.335], [0.169, 0.667, 0.334], [0.500, 0.500, 0.000], [0.500, 0.000, 0.000]]
}

=====

{
  "formula": "Li5MnCo2O8",
  "functional": "SCAN",
  "state": "PBEsol geometry",
  "lattice_angstrom": [[-2.833, 0.885, 3.928], [-2.895, -4.660, -1.093], [5.244, -0.376, 1.900]],
  "species": ["Co", "Co", "O", "O", "O", "O", "O", "O", "O", "O", "Li", "Li", "Li", "Li", "Li", "Mn"],
  "frac_coords": [[0.000, 0.000, 0.500], [0.000, 0.500, 0.000], [0.772, 0.637, 0.772], [0.219, 0.870, 0.241], [0.783, 0.642, 0.250], [0.227, 0.888, 0.752], [0.773, 0.112, 0.248], [0.781, 0.130, 0.759], [0.217, 0.358, 0.750], [0.228, 0.363, 0.228], [0.492, 0.734, 0.497], [0.502, 0.746, 0.993], [0.000, 0.500, 0.500], [0.508, 0.266, 0.503], [0.498, 0.254, 0.007], [0.000, 0.000, 0.000]]
}

=====

{
  "formula": "Li2MnCo3O8",
  "functional": "SCAN",
  "state": "PBEsol geometry",
  "lattice_angstrom": [[-1.755, -0.860, -7.717], [5.391, -5.828, -0.576], [-5.588, -5.353, 1.867]],
  "species": ["Co", "Co", "Co", "Co", "Co", "Co", "Co", "Co", "Co", "Co", "Co", "Co", "O", "O", "O", "O", "O", "O", "O", "O", "O", "O", "O", "O", "O", "O", "O", "O", "O", "O", "O", "O", "O", "O", "O", "O", "O", "O", "O", "O", "O", "O", "O", "O", "Mn", "Mn", "Mn", "Mn", "Li", "Li", "Li", "Li", "Li", "Li", "Li", "Li"],
  "frac_coords": [[0.502, 0.625, 0.873], [0.998, 0.874, 0.625], [0.498, 0.127, 0.375], [0.750, 0.377, 0.376], [0.752, 0.627, 0.125], [0.002, 0.375, 0.126], [0.748, 0.125, 0.626], [0.248, 0.875, 0.373], [0.500, 0.877, 0.123], [0.252, 0.374, 0.875], [0.000, 0.124, 0.876], [0.250, 0.624, 0.623], [0.736, 0.863, 0.113], [0.012, 0.863, 0.389], [0.512, 0.137, 0.611], [0.014, 0.637, 0.613], [0.764, 0.113, 0.863], [0.488, 0.113, 0.139], [0.762, 0.889, 0.637], [0.986, 0.387, 0.363], [0.517, 0.642, 0.108], [0.486, 0.613, 0.637], [0.238, 0.639, 0.387], [0.236, 0.137, 0.887], [0.514, 0.363, 0.387], [0.767, 0.392, 0.142], [0.512, 0.861, 0.887], [0.483, 0.892, 0.358], [0.488, 0.389, 0.863], [0.262, 0.111, 0.363], [0.983, 0.108, 0.642], [0.012, 0.139, 0.113], [0.267, 0.608, 0.858], [0.238, 0.363, 0.111], [0.733, 0.142, 0.392], [0.738, 0.637, 0.889], [0.233, 0.858, 0.608], [0.262, 0.387, 0.639], [0.017, 0.358, 0.892], [0.988, 0.611, 0.137], [0.264, 0.887, 0.137], [0.762, 0.613, 0.361], [0.988, 0.887, 0.861], [0.738, 0.361, 0.613], [0.250, 0.125, 0.125], [0.500, 0.375, 0.625], [0.750, 0.875, 0.875], [0.000, 0.625, 0.375], [0.871, 0.004, 0.254], [0.371, 0.996, 0.746], [0.879, 0.496, 0.754], [0.621, 0.754, 0.496], [0.129, 0.746, 0.996], [0.629, 0.254, 0.004], [0.121, 0.246, 0.504], [0.379, 0.504, 0.246]]
}

=====

These records have M_tot values of 5.00; 4.00; 4.07 μB/f.u., in the order they appear.
These records have energy relative to the elements, uncorrected values of -2187; -3088; -2474 kJ/mol of formula units, in the order they appear.
These records have density values of 4.74; 4.41; 4.92 g cm⁻³, in the order they appear.